## ReRh (GGA-PBEsol)

Data for an optimized crystal structure of ReRh.

## Properties
- M_tot (μB per atom) = 0.000
- final energy (eV per atom) = -10.801
- formation energy from the elements (meV/atom) = -65

a = 3.8744 Å, b = 3.8744 Å, c = 4.6196 Å
α = 114.79°, β = 114.79°, γ = 90.00°
Closest atoms and distances in Å follow each position.
Element x y z (fractional)
Re: 0.5000 0.5000 0.0000  4 Re 2.69, 8 Rh 2.69-2.74
Rh: 0.0000 0.0000 0.0000  8 Re 2.69-2.74, 4 Rh 2.69
Re: 0.7500 0.2500 0.5000  4 Re 2.69, 8 Rh 2.69-2.74
Rh: 0.2500 0.7500 0.5000  8 Re 2.69-2.74, 4 Rh 2.69